A plane-wave DFT calculation with PBE was carried out for a relaxed Sr6Hg5Pd crystal.

a b c (Å): 5.6244 7.8273 8.9102
angles (deg): 90.00 108.24 90.00
Space group P2/m (No. 10)
Unique sites:
Sr (0.0000, 0.2402, 0.0000) x2
Sr (0.3375, 0.2459, 0.6759) x4
Hg (0.1679, 0.5000, 0.3342) x2
Hg (0.1717, 0.0000, 0.3402) x2
Hg (0.5000, 0.5000, 0.0000) x1
Pd (0.5000, 0.0000, 0.0000) x1

## Properties
Spin magnetization   0.00 μB per atom
Energy relative to the elements   -519 meV per atom
DOS at the Fermi energy   8.8 states/eV/cell